1.
## DyCo2GeO6 (PBE with a Hubbard U)

Data for a relaxed structure of DyCo2GeO6.

Summary:
N(E_F), states/eV per atom: 0.00
Magnetization, μB per cell: 3.0
Total energy, eV per cell: -66.8

a = 5.212 Å, b = 5.204 Å, c = 5.477 Å
α = 61.63°, β = 61.67°, γ = 60.14°
Element x y z (fractional)
O (0.923, 0.588, 0.236)
O (0.379, 0.705, 0.752)
O (0.704, 0.164, 0.751)
O (0.588, 0.254, 0.235)
O (0.253, 0.922, 0.235)
O (0.165, 0.379, 0.752)
Co (0.513, 0.514, 0.461)
Co (0.017, 0.018, 0.949)
Ge (0.314, 0.315, 0.057)
Dy (0.806, 0.802, 0.588)

2.
## Dy2CoGeO6 (PBE with a Hubbard U)

Data for a relaxed structure of Dy2CoGeO6.

Summary:
N(E_F), states/eV per atom: 0.00
Magnetization, μB per cell: 6.0
Total energy, eV per cell: -148.0

a = 5.300 Å, b = 5.646 Å, c = 7.589 Å
α = 90.00°, β = 89.39°, γ = 90.00°
Element x y z (fractional)
Ge (0.000, 0.500, 0.000)
Ge (0.500, 0.000, 0.500)
Dy (0.521, 0.572, 0.751)
Dy (0.979, 0.072, 0.749)
Dy (0.021, 0.928, 0.251)
Dy (0.479, 0.428, 0.249)
O (0.386, 0.960, 0.739)
O (0.614, 0.040, 0.261)
O (0.705, 0.318, 0.947)
O (0.795, 0.818, 0.553)
O (0.886, 0.540, 0.239)
O (0.114, 0.460, 0.761)
O (0.205, 0.182, 0.447)
O (0.178, 0.209, 0.061)
O (0.295, 0.682, 0.053)
O (0.822, 0.791, 0.939)
O (0.322, 0.709, 0.439)
O (0.678, 0.291, 0.561)
Co (0.000, 0.500, 0.500)
Co (0.500, 0.000, 0.000)